YNi2As: relaxed, PBE.

Results
- Formation energy: -0.4937 eV/atom

The structure in CIF format:
```
data_YNi2As
_chemical_formula_sum 'Y1 Ni2 As1'
_cell_length_a 3.949
_cell_length_b 4.126
_cell_length_c 4.492
_cell_angle_alpha 90.00
_cell_angle_beta 95.07
_cell_angle_gamma 90.00
_symmetry_space_group_name_H-M 'P 1 m 1'
_symmetry_Int_Tables_number 6
loop_
_symmetry_equiv_pos_as_xyz
'x,y,z'
'x,-y,z'
loop_
_atom_site_label
_atom_site_type_symbol
_atom_site_fract_x
_atom_site_fract_y
_atom_site_fract_z
_atom_site_occupancy
Y1 Y 0.000 0.000 0.000 1
Ni1 Ni 0.441 0.500 0.781 1
Ni2 Ni 0.494 0.000 0.508 1
As1 As 0.566 0.500 0.284 1
```